(one)
A geometry-optimized Si2MoCl structure. Source: the Alexandria database, functional PBE-GGA.

The structure in CIF format:
```
data_Si2MoCl
_chemical_formula_sum 'Si2 Mo1 Cl1'
_cell_length_a 2.8268
_cell_length_b 4.5647
_cell_length_c 4.7546
_cell_angle_alpha 90.00
_cell_angle_beta 90.00
_cell_angle_gamma 90.00
_space_group_name_H-M_alt 'P m m m'
_space_group_IT_number 47
loop_
_space_group_symop_operation_xyz
'x,y,z'
'-x,-y,-z'
'-x,-y,z'
'x,y,-z'
'x,-y,-z'
'-x,y,z'
'-x,y,-z'
'x,-y,z'
loop_
_atom_site_label
_atom_site_fract_x
_atom_site_fract_y
_atom_site_fract_z
_atom_site_occupancy
Si1 0.0000 0.0000 0.0000 1
Si2 0.5000 0.5000 0.0000 1
Mo1 0.0000 0.5000 0.5000 1
Cl1 0.5000 0.0000 0.5000 1
```

(two)
A geometry-optimized Si2MoCl structure. Source: the Alexandria database, functional PBE-GGA.

The structure in CIF format:
```
data_Si2MoCl
_chemical_formula_sum 'Si2 Mo1 Cl1'
_cell_length_a 3.4377
_cell_length_b 3.4377
_cell_length_c 5.2582
_cell_angle_alpha 90.00
_cell_angle_beta 90.00
_cell_angle_gamma 90.00
_space_group_name_H-M_alt 'P 4/m m m'
_space_group_IT_number 123
_space_group_name_Hall '-P 4 2'
loop_
_atom_site_label
_atom_site_fract_x
_atom_site_fract_y
_atom_site_fract_z
_atom_site_occupancy
Si1 0.0000 0.0000 0.2415 1
Mo1 0.5000 0.5000 0.0000 1
Cl1 0.5000 0.5000 0.5000 1
```

Which of them is most stable, and which least? Most stable: (two); least stable: (one).

(one)
A geometry-optimized Si2MoCl structure. Source: the Alexandria database, functional PBE-GGA.

The structure in CIF format:
```
data_Si2MoCl
_chemical_formula_sum 'Si4 Mo2 Cl2'
_cell_length_a 7.9451
_cell_length_b 2.8128
_cell_length_c 8.1191
_cell_angle_alpha 90.00
_cell_angle_beta 105.72
_cell_angle_gamma 90.00
_space_group_name_H-M_alt 'C 1 m 1'
_space_group_IT_number 8
loop_
_space_group_symop_operation_xyz
'x,y,z'
'x,-y,z'
'x+1/2,y+1/2,z'
'x+1/2,-y+1/2,z'
loop_
_atom_site_label
_atom_site_fract_x
_atom_site_fract_y
_atom_site_fract_z
_atom_site_occupancy
Si1 0.0000 0.0000 0.0000 1
Si2 0.2322 0.0000 0.8417 1
Mo1 0.2689 0.5000 0.1559 1
Cl1 0.3772 0.0000 0.3992 1
```

(two)
A geometry-optimized Si2MoCl structure. Source: the Alexandria database, functional PBE-GGA.

The structure in CIF format:
```
data_Si2MoCl
_chemical_formula_sum 'Si2 Mo1 Cl1'
_cell_length_a 3.7136
_cell_length_b 4.2493
_cell_length_c 4.8078
_cell_angle_alpha 90.00
_cell_angle_beta 106.77
_cell_angle_gamma 90.00
_space_group_name_H-M_alt 'P 1 m 1'
_space_group_IT_number 6
loop_
_space_group_symop_operation_xyz
'x,y,z'
'x,-y,z'
loop_
_atom_site_label
_atom_site_fract_x
_atom_site_fract_y
_atom_site_fract_z
_atom_site_occupancy
Si1 0.0000 0.0000 0.0000 1
Si2 0.4185 0.5000 0.8987 1
Mo1 0.3718 0.0000 0.6470 1
Cl1 0.5833 0.5000 0.3767 1
```

(three)
A geometry-optimized Si2MoCl structure. Source: the Alexandria database, functional PBE-GGA.

The structure in CIF format:
```
data_Si2MoCl
_chemical_formula_sum 'Si2 Mo1 Cl1'
_cell_length_a 3.5386
_cell_length_b 3.5386
_cell_length_c 4.9458
_cell_angle_alpha 90.00
_cell_angle_beta 90.00
_cell_angle_gamma 90.00
_space_group_name_H-M_alt 'P 4/m m m'
_space_group_IT_number 123
_space_group_name_Hall '-P 4 2'
loop_
_atom_site_label
_atom_site_fract_x
_atom_site_fract_y
_atom_site_fract_z
_atom_site_occupancy
Si1 0.0000 0.5000 0.0000 1
Mo1 0.0000 0.0000 0.5000 1
Cl1 0.5000 0.5000 0.5000 1
```

Which of them is most stable, and which least? Most stable: (one); least stable: (three).

(one)
A geometry-optimized Si2MoCl structure. Source: the Alexandria database, functional PBE-GGA.

The structure in CIF format:
```
data_Si2MoCl
_chemical_formula_sum 'Si4 Mo2 Cl2'
_cell_length_a 5.9072
_cell_length_b 7.4882
_cell_length_c 2.8106
_cell_angle_alpha 90.00
_cell_angle_beta 90.00
_cell_angle_gamma 90.00
_space_group_name_H-M_alt 'C m m m'
_space_group_IT_number 65
_space_group_name_Hall '-C 2 2'
loop_
_atom_site_label
_atom_site_fract_x
_atom_site_fract_y
_atom_site_fract_z
_atom_site_occupancy
Si1 0.2500 0.2500 0.0000 1
Mo1 0.0000 0.0000 0.5000 1
Cl1 0.0000 0.5000 0.5000 1
```

(two)
A geometry-optimized Si2MoCl structure. Source: the Alexandria database, functional PBE-GGA.

The structure in CIF format:
```
data_Si2MoCl
_chemical_formula_sum 'Si8 Mo4 Cl4'
_cell_length_a 5.9349
_cell_length_b 5.9349
_cell_length_c 11.0486
_cell_angle_alpha 90.00
_cell_angle_beta 90.00
_cell_angle_gamma 90.00
_space_group_name_H-M_alt 'I -4 2 d'
_space_group_IT_number 122
_space_group_name_Hall 'I -4 2bw'
loop_
_atom_site_label
_atom_site_fract_x
_atom_site_fract_y
_atom_site_fract_z
_atom_site_occupancy
Si1 0.2068 0.2500 0.1250 1
Mo1 0.0000 0.0000 0.0000 1
Cl1 0.0000 0.0000 0.5000 1
```

(three)
A geometry-optimized Si2MoCl structure. Source: the Alexandria database, functional PBE-GGA.

The structure in CIF format:
```
data_Si2MoCl
_chemical_formula_sum 'Si8 Mo4 Cl4'
_cell_length_a 6.2264
_cell_length_b 6.2264
_cell_length_c 6.2264
_cell_angle_alpha 90.00
_cell_angle_beta 90.00
_cell_angle_gamma 90.00
_space_group_name_H-M_alt 'F -4 3 m'
_space_group_IT_number 216
_space_group_name_Hall 'F -4 2 3'
loop_
_atom_site_label
_atom_site_fract_x
_atom_site_fract_y
_atom_site_fract_z
_atom_site_occupancy
Si1 0.0000 0.0000 0.0000 1
Si2 0.2500 0.2500 0.2500 1
Mo1 0.0000 0.0000 0.5000 1
Cl1 0.2500 0.2500 0.7500 1
```

(four)
A geometry-optimized Si2MoCl structure. Source: the Alexandria database, functional PBE-GGA.

The structure in CIF format:
```
data_Si2MoCl
_chemical_formula_sum 'Si4 Mo2 Cl2'
_cell_length_a 9.2659
_cell_length_b 3.0299
_cell_length_c 4.5870
_cell_angle_alpha 90.00
_cell_angle_beta 96.89
_cell_angle_gamma 90.00
_space_group_name_H-M_alt 'C 1 2/m 1'
_space_group_IT_number 12
loop_
_space_group_symop_operation_xyz
'x,y,z'
'-x,-y,-z'
'-x,y,-z'
'x,-y,z'
'x+1/2,y+1/2,z'
'-x+1/2,-y+1/2,-z'
'-x+1/2,y+1/2,-z'
'x+1/2,-y+1/2,z'
loop_
_atom_site_label
_atom_site_fract_x
_atom_site_fract_y
_atom_site_fract_z
_atom_site_occupancy
Si1 0.2228 0.0000 0.2028 1
Mo1 0.0000 0.5000 0.0000 1
Cl1 0.0000 0.0000 0.5000 1
```

Which of them is most stable, and which least? Most stable: (four); least stable: (two).

(one)
A geometry-optimized Si2MoCl structure. Source: the Alexandria database, functional PBE-GGA.

The structure in CIF format:
```
data_Si2MoCl
_chemical_formula_sum 'Si6 Mo3 Cl3'
_cell_length_a 2.9739
_cell_length_b 2.9739
_cell_length_c 27.7034
_cell_angle_alpha 90.00
_cell_angle_beta 90.00
_cell_angle_gamma 120.00
_space_group_name_H-M_alt 'R 3 m'
_space_group_IT_number 160
_space_group_name_Hall 'R 3 -2"'
loop_
_atom_site_label
_atom_site_fract_x
_atom_site_fract_y
_atom_site_fract_z
_atom_site_occupancy
Si1 0.0000 0.0000 0.0000 1
Si2 0.0000 0.0000 0.2628 1
Mo1 0.0000 0.0000 0.5224 1
Cl1 0.0000 0.0000 0.7923 1
```

(two)
A geometry-optimized Si2MoCl structure. Source: the Alexandria database, functional PBE-GGA.

The structure in CIF format:
```
data_Si2MoCl
_chemical_formula_sum 'Si4 Mo2 Cl2'
_cell_length_a 7.2371
_cell_length_b 6.8297
_cell_length_c 2.7489
_cell_angle_alpha 90.00
_cell_angle_beta 104.97
_cell_angle_gamma 90.00
_space_group_name_H-M_alt 'C 1 2/m 1'
_space_group_IT_number 12
loop_
_space_group_symop_operation_xyz
'x,y,z'
'-x,-y,-z'
'-x,y,-z'
'x,-y,z'
'x+1/2,y+1/2,z'
'-x+1/2,-y+1/2,-z'
'-x+1/2,y+1/2,-z'
'x+1/2,-y+1/2,z'
loop_
_atom_site_label
_atom_site_fract_x
_atom_site_fract_y
_atom_site_fract_z
_atom_site_occupancy
Si1 0.2500 0.2500 0.0000 1
Mo1 0.0000 0.0000 0.5000 1
Cl1 0.0000 0.5000 0.5000 1
```

(three)
A geometry-optimized Si2MoCl structure. Source: the Alexandria database, functional PBE-GGA.

The structure in CIF format:
```
data_Si2MoCl
_chemical_formula_sum 'Si4 Mo2 Cl2'
_cell_length_a 3.8939
_cell_length_b 3.8939
_cell_length_c 8.1284
_cell_angle_alpha 90.00
_cell_angle_beta 90.00
_cell_angle_gamma 90.00
_space_group_name_H-M_alt 'I 4/m m m'
_space_group_IT_number 139
_space_group_name_Hall '-I 4 2'
loop_
_atom_site_label
_atom_site_fract_x
_atom_site_fract_y
_atom_site_fract_z
_atom_site_occupancy
Si1 0.0000 0.5000 0.2500 1
Mo1 0.0000 0.0000 0.0000 1
Cl1 0.0000 0.0000 0.5000 1
```

Which of them is most stable, and which least? Most stable: (one); least stable: (three).